(1)
First-principles (GGA-PBE) data for PrGdPuIn after structural relaxation, as listed in Alexandria.

Output
Magnetization ... 0.7 μB/f.u.
Formation energy from the elements ... 3.3 kJ/mol of atoms

a = 5.506 Å, b = 5.506 Å, c = 5.506 Å
α = 60.00°, β = 60.00°, γ = 60.00°
Fractional coordinates of all 4 atoms:
In 0.250 0.250 0.250
Gd 0.500 0.500 0.500
Pu 0.000 0.000 0.000
Pr 0.750 0.750 0.750

=====

(2)
First-principles (GGA-PBE) data for PrSmGdIn after structural relaxation, as listed in Alexandria.

Output
Magnetization ... 8.3 μB/f.u.
Formation energy from the elements ... -16.7 kJ/mol of atoms

a = 5.565 Å, b = 5.565 Å, c = 5.565 Å
α = 60.00°, β = 60.00°, γ = 60.00°
Fractional coordinates of all 4 atoms:
Pr 0.250 0.250 0.250
Sm 0.750 0.750 0.750
Gd 0.500 0.500 0.500
In 0.000 0.000 0.000

=====

(3)
First-principles (GGA-PBE) data for PrGdInSn after structural relaxation, as listed in Alexandria.

Output
Magnetization ... 7.2 μB/f.u.
Formation energy from the elements ... -52.0 kJ/mol of atoms

a = 5.455 Å, b = 5.455 Å, c = 5.455 Å
α = 60.00°, β = 60.00°, γ = 60.00°
Fractional coordinates of all 4 atoms:
Pr 0.000 0.000 0.000
In 0.750 0.750 0.750
Gd 0.500 0.500 0.500
Sn 0.250 0.250 0.250

=====

(4)
First-principles (GGA-PBE) data for SrPrGdIn after structural relaxation, as listed in Alexandria.

Output
Magnetization ... 7.7 μB/f.u.
Formation energy from the elements ... -6.7 kJ/mol of atoms

a = 5.698 Å, b = 5.698 Å, c = 5.698 Å
α = 60.00°, β = 60.00°, γ = 60.00°
Fractional coordinates of all 4 atoms:
In 0.000 0.000 0.000
Pr 0.750 0.750 0.750
Gd 0.250 0.250 0.250
Sr 0.500 0.500 0.500

=====

(5)
First-principles (GGA-PBE) data for PrGdThIn after structural relaxation, as listed in Alexandria.

Output
Magnetization ... 7.7 μB/f.u.
Formation energy from the elements ... -4.0 kJ/mol of atoms

a = 5.551 Å, b = 5.551 Å, c = 5.551 Å
α = 60.00°, β = 60.00°, γ = 60.00°
Fractional coordinates of all 4 atoms:
In 0.000 0.000 0.000
Pr 0.750 0.750 0.750
Gd 0.250 0.250 0.250
Th 0.500 0.500 0.500

=====

(6)
First-principles (GGA-PBE) data for PrGdTlIn after structural relaxation, as listed in Alexandria.

Output
Magnetization ... 7.2 μB/f.u.
Formation energy from the elements ... -41.2 kJ/mol of atoms

a = 5.472 Å, b = 5.472 Å, c = 5.472 Å
α = 60.00°, β = 60.00°, γ = 60.00°
Fractional coordinates of all 4 atoms:
In 0.250 0.250 0.250
Gd 0.500 0.500 0.500
Tl 0.750 0.750 0.750
Pr 0.000 0.000 0.000

=====

(7)
First-principles (GGA-PBE) data for PrGdTmIn after structural relaxation, as listed in Alexandria.

Output
Magnetization ... 8.3 μB/f.u.
Formation energy from the elements ... -14.0 kJ/mol of atoms

a = 5.502 Å, b = 5.502 Å, c = 5.502 Å
α = 60.00°, β = 60.00°, γ = 60.00°
Fractional coordinates of all 4 atoms:
Pr 0.500 0.500 0.500
Tm 0.000 0.000 0.000
In 0.250 0.250 0.250
Gd 0.750 0.750 0.750

=====

(8)
First-principles (GGA-PBE) data for PrGdZnIn after structural relaxation, as listed in Alexandria.

Output
Magnetization ... 7.9 μB/f.u.
Formation energy from the elements ... -38.2 kJ/mol of atoms

a = 5.336 Å, b = 5.336 Å, c = 5.336 Å
α = 60.00°, β = 60.00°, γ = 60.00°
Fractional coordinates of all 4 atoms:
In 0.000 0.000 0.000
Zn 0.500 0.500 0.500
Pr 0.250 0.250 0.250
Gd 0.750 0.750 0.750

=====

(9)
First-principles (GGA-PBE) data for GdInPt2 after structural relaxation, as listed in Alexandria.

Output
Magnetization ... 7.1 μB/f.u.
Formation energy from the elements ... -91.8 kJ/mol of atoms

a = 4.605 Å, b = 4.605 Å, c = 9.094 Å
α = 90.00°, β = 90.00°, γ = 120.00°
Fractional coordinates of all 8 atoms:
Pt 0.667 0.333 0.410
Pt 0.667 0.333 0.090
Pt 0.333 0.667 0.910
Pt 0.333 0.667 0.590
In 0.000 0.000 0.000
In 0.000 0.000 0.500
Gd 0.333 0.667 0.250
Gd 0.667 0.333 0.750

=====

(10)
First-principles (GGA-PBE) data for GdInPt2 after structural relaxation, as listed in Alexandria.

Output
Magnetization ... 7.1 μB/f.u.
Formation energy from the elements ... -78.8 kJ/mol of atoms

a = 3.562 Å, b = 4.748 Å, c = 4.748 Å
α = 90.00°, β = 90.00°, γ = 90.00°
Fractional coordinates of all 4 atoms:
Pt 0.000 0.000 0.500
Pt 0.000 0.500 0.000
In 0.500 0.000 0.000
Gd 0.500 0.500 0.500

=====

(11)
First-principles (GGA-PBE) data for GdIn2Pt after structural relaxation, as listed in Alexandria.

Output
Magnetization ... 7.6 μB/f.u.
Formation energy from the elements ... -1.7 kJ/mol of atoms

a = 3.533 Å, b = 3.533 Å, c = 10.285 Å
α = 80.11°, β = 80.11°, γ = 60.00°
Fractional coordinates of all 4 atoms:
In 0.895 0.895 0.316
In 0.105 0.105 0.684
Gd 0.000 0.000 0.000
Pt 0.500 0.500 0.500

=====

(12)
First-principles (GGA-PBE) data for Gd2InPt after structural relaxation, as listed in Alexandria.

Output
Magnetization ... 14.4 μB/f.u.
Polymorph energy (0 for the lowest one) ... 119.8 meV/atom
Formation energy from the elements ... -68.8 kJ/mol of atoms

a = 3.953 Å, b = 3.953 Å, c = 8.626 Å
α = 76.75°, β = 76.75°, γ = 60.00°
Fractional coordinates of all 4 atoms:
Gd 0.735 0.735 0.794
Gd 0.265 0.265 0.206
Pt 0.000 0.000 0.000
In 0.500 0.500 0.500

=====

(13)
First-principles (GGA-PBE) data for Gd2InPt after structural relaxation, as listed in Alexandria.

Output
Magnetization ... 14.3 μB/f.u.
Polymorph energy (0 for the lowest one) ... 0.0 meV/atom
Formation energy from the elements ... -80.3 kJ/mol of atoms

a = 3.559 Å, b = 3.559 Å, c = 7.801 Å
α = 90.00°, β = 90.00°, γ = 90.00°
Fractional coordinates of all 4 atoms:
Gd 0.000 0.000 0.280
Gd 0.000 0.000 0.720
In 0.500 0.500 0.000
Pt 0.500 0.500 0.500

=====

(14)
First-principles (GGA-PBE) data for GdIn2Pt after structural relaxation, as listed in Alexandria.

Output
Magnetization ... 7.1 μB/f.u.
Formation energy from the elements ... -54.1 kJ/mol of atoms

a = 4.775 Å, b = 4.339 Å, c = 4.339 Å
α = 90.00°, β = 90.00°, γ = 90.00°
Fractional coordinates of all 4 atoms:
In 0.000 0.500 0.000
In 0.000 0.000 0.500
Gd 0.500 0.500 0.500
Pt 0.500 0.000 0.000

=====

(15)
First-principles (GGA-PBE) data for Gd2InPt after structural relaxation, as listed in Alexandria.

Output
Magnetization ... 14.2 μB/f.u.
Polymorph energy (0 for the lowest one) ... 107.8 meV/atom
Formation energy from the elements ... -69.9 kJ/mol of atoms

a = 5.182 Å, b = 5.182 Å, c = 5.182 Å
α = 60.00°, β = 60.00°, γ = 60.00°
Fractional coordinates of all 4 atoms:
Pt 0.500 0.500 0.500
Gd 0.250 0.250 0.250
Gd 0.750 0.750 0.750
In 0.000 0.000 0.000

=====

(16)
First-principles (GGA-PBE) data for GdInPt2 after structural relaxation, as listed in Alexandria.

Output
Magnetization ... 7.0 μB/f.u.
Formation energy from the elements ... -79.0 kJ/mol of atoms

a = 3.493 Å, b = 3.493 Å, c = 6.593 Å
α = 90.00°, β = 90.00°, γ = 90.00°
Fractional coordinates of all 4 atoms:
Pt 0.000 0.000 0.230
Pt 0.000 0.000 0.770
Gd 0.500 0.500 0.500
In 0.500 0.500 0.000

=====

(17)
First-principles (GGA-PBE) data for GdInRuPt after structural relaxation, as listed in Alexandria.

Output
Magnetization ... 7.1 μB/f.u.
Formation energy from the elements ... -49.0 kJ/mol of atoms

a = 4.759 Å, b = 4.759 Å, c = 4.759 Å
α = 60.00°, β = 60.00°, γ = 60.00°
Fractional coordinates of all 4 atoms:
Pt 0.750 0.750 0.750
In 0.500 0.500 0.500
Ru 0.250 0.250 0.250
Gd 0.000 0.000 0.000

=====

(18)
First-principles (GGA-PBE) data for TbGdInPt after structural relaxation, as listed in Alexandria.

Output
Magnetization ... 7.1 μB/f.u.
Formation energy from the elements ... -70.5 kJ/mol of atoms

a = 5.166 Å, b = 5.166 Å, c = 5.166 Å
α = 60.00°, β = 60.00°, γ = 60.00°
Fractional coordinates of all 4 atoms:
In 0.250 0.250 0.250
Gd 0.500 0.500 0.500
Tb 0.000 0.000 0.000
Pt 0.750 0.750 0.750

=====

(19)
First-principles (GGA-PBE) data for GdYInPt after structural relaxation, as listed in Alexandria.

Output
Magnetization ... 7.1 μB/f.u.
Formation energy from the elements ... -71.5 kJ/mol of atoms

a = 5.160 Å, b = 5.160 Å, c = 5.160 Å
α = 60.00°, β = 60.00°, γ = 60.00°
Fractional coordinates of all 4 atoms:
Gd 0.250 0.250 0.250
In 0.500 0.500 0.500
Pt 0.000 0.000 0.000
Y 0.750 0.750 0.750

=====

(20)
First-principles (GGA-PBE) data for GdZnInPt after structural relaxation, as listed in Alexandria.

Output
Magnetization ... 7.1 μB/f.u.
Formation energy from the elements ... -63.1 kJ/mol of atoms

a = 4.846 Å, b = 4.846 Å, c = 4.846 Å
α = 60.00°, β = 60.00°, γ = 60.00°
Fractional coordinates of all 4 atoms:
Zn 0.000 0.000 0.000
Pt 0.500 0.500 0.500
In 0.750 0.750 0.750
Gd 0.250 0.250 0.250

=====

(21)
First-principles (GGA-PBE) data for Gd2PuIn after structural relaxation, as listed in Alexandria.

Output
Magnetization ... 8.3 μB/f.u.
Polymorph energy (0 for the lowest one) ... 18.1 meV/atom
Formation energy from the elements ... -12.4 kJ/mol of atoms

a = 4.656 Å, b = 4.892 Å, c = 4.892 Å
α = 90.00°, β = 90.00°, γ = 90.00°
Fractional coordinates of all 4 atoms:
Gd 0.000 0.000 0.500
Gd 0.000 0.500 0.000
In 0.500 0.000 0.000
Pu 0.500 0.500 0.500

=====

(22)
First-principles (GGA-PBE) data for Gd2PuIn after structural relaxation, as listed in Alexandria.

Output
Magnetization ... 8.2 μB/f.u.
Polymorph energy (0 for the lowest one) ... 72.4 meV/atom
Formation energy from the elements ... -7.1 kJ/mol of atoms

a = 5.421 Å, b = 5.421 Å, c = 5.421 Å
α = 60.00°, β = 60.00°, γ = 60.00°
Fractional coordinates of all 4 atoms:
Gd 0.750 0.750 0.750
Gd 0.250 0.250 0.250
In 0.500 0.500 0.500
Pu 0.000 0.000 0.000

=====

(23)
First-principles (GGA-PBE) data for Gd2PuIn after structural relaxation, as listed in Alexandria.

Output
Magnetization ... 21.2 μB/f.u.
Polymorph energy (0 for the lowest one) ... 0.0 meV/atom
Formation energy from the elements ... -14.1 kJ/mol of atoms

a = 3.655 Å, b = 3.655 Å, c = 8.754 Å
α = 90.00°, β = 90.00°, γ = 90.00°
Fractional coordinates of all 4 atoms:
Gd 0.000 0.000 0.231
Gd 0.000 0.000 0.769
In 0.500 0.500 0.000
Pu 0.500 0.500 0.500

=====

(24)
First-principles (GGA-PBE) data for Gd2PuIn after structural relaxation, as listed in Alexandria.

Output
Magnetization ... 21.3 μB/f.u.
Polymorph energy (0 for the lowest one) ... 99.4 meV/atom
Formation energy from the elements ... -4.5 kJ/mol of atoms

a = 3.575 Å, b = 3.575 Å, c = 11.009 Å
α = 80.66°, β = 80.66°, γ = 60.00°
Fractional coordinates of all 4 atoms:
Gd 0.246 0.246 0.262
Gd 0.754 0.754 0.738
Pu 0.000 0.000 0.000
In 0.500 0.500 0.500

=====

(25)
First-principles (GGA-PBE) data for GdPu2In after structural relaxation, as listed in Alexandria.

Output
Magnetization ... 20.5 μB/f.u.
Polymorph energy (0 for the lowest one) ... 184.0 meV/atom
Formation energy from the elements ... 6.8 kJ/mol of atoms

a = 5.378 Å, b = 5.378 Å, c = 5.378 Å
α = 60.00°, β = 60.00°, γ = 60.00°
Fractional coordinates of all 4 atoms:
Gd 0.000 0.000 0.000
In 0.500 0.500 0.500
Pu 0.250 0.250 0.250
Pu 0.750 0.750 0.750

=====

(26)
First-principles (GGA-PBE) data for GdPu2In after structural relaxation, as listed in Alexandria.

Output
Magnetization ... 19.3 μB/f.u.
Polymorph energy (0 for the lowest one) ... 0.0 meV/atom
Formation energy from the elements ... -10.9 kJ/mol of atoms

a = 5.100 Å, b = 4.608 Å, c = 4.608 Å
α = 90.00°, β = 90.00°, γ = 90.00°
Fractional coordinates of all 4 atoms:
Pu 0.000 0.500 0.000
Pu 0.000 0.000 0.500
Gd 0.500 0.500 0.500
In 0.500 0.000 0.000

=====

(27)
First-principles (GGA-PBE) data for GdPu2In after structural relaxation, as listed in Alexandria.

Output
Magnetization ... 20.1 μB/f.u.
Polymorph energy (0 for the lowest one) ... 151.3 meV/atom
Formation energy from the elements ... 3.7 kJ/mol of atoms

a = 4.150 Å, b = 4.150 Å, c = 6.534 Å
α = 90.00°, β = 90.00°, γ = 90.00°
Fractional coordinates of all 4 atoms:
Pu 0.000 0.000 0.767
Pu 0.000 0.000 0.233
In 0.500 0.500 0.000
Gd 0.500 0.500 0.500

=====

(28)
First-principles (GGA-PBE) data for GdPuInRu after structural relaxation, as listed in Alexandria.

Output
Magnetization ... 12.1 μB/f.u.
Formation energy from the elements ... -9.5 kJ/mol of atoms

a = 5.085 Å, b = 5.085 Å, c = 5.085 Å
α = 60.00°, β = 60.00°, γ = 60.00°
Fractional coordinates of all 4 atoms:
Pu 0.250 0.250 0.250
In 0.500 0.500 0.500
Ru 0.000 0.000 0.000
Gd 0.750 0.750 0.750

=====

(29)
First-principles (GGA-PBE) data for GdPuInSn after structural relaxation, as listed in Alexandria.

Output
Magnetization ... 1.3 μB/f.u.
Formation energy from the elements ... -34.2 kJ/mol of atoms

a = 5.363 Å, b = 5.363 Å, c = 5.363 Å
α = 60.00°, β = 60.00°, γ = 60.00°
Fractional coordinates of all 4 atoms:
In 0.750 0.750 0.750
Gd 0.000 0.000 0.000
Pu 0.500 0.500 0.500
Sn 0.250 0.250 0.250

=====

(30)
First-principles (GGA-PBE) data for GdPuTlIn after structural relaxation, as listed in Alexandria.

Output
Magnetization ... 1.3 μB/f.u.
Formation energy from the elements ... -19.5 kJ/mol of atoms

a = 5.408 Å, b = 5.408 Å, c = 5.408 Å
α = 60.00°, β = 60.00°, γ = 60.00°
Fractional coordinates of all 4 atoms:
Tl 0.000 0.000 0.000
Pu 0.250 0.250 0.250
Gd 0.750 0.750 0.750
In 0.500 0.500 0.500